(1)
HfTeAu: relaxed, PBE.

The value obtained for the calculated density is 10885 kg/m³. Its space-group type is P-3m1, No. 164. Its formation energy from raw total energies is -403.1 meV per atom.

abc: 3.8388 3.8388 24.0523
angles: 90.00 90.00 120.00
Element x y z (fractional)
Hf 0.3333 0.6667 0.1086
Hf 0.6667 0.3333 0.3490
Hf 0.6667 0.3333 0.8914
Hf 0.3333 0.6667 0.6510
Au 0.3333 0.6667 0.9616
Au 0.6667 0.3333 0.0384
Au 0.6667 0.3333 0.1797
Au 0.3333 0.6667 0.8203
Te 0.3333 0.6667 0.2697
Te 0.6667 0.3333 0.5754
Te 0.3333 0.6667 0.4246
Te 0.6667 0.3333 0.7303

(2)
HfTe3Au: relaxed, PBE.

The relative energy among the computed polymorphs is 2.63 eV/f.u. The value obtained for the calculated density is 7501 kg/m³. Its space-group type is Pm-3m, No. 221. Its formation energy from raw total energies is 205.6 meV per atom.

abc: 5.5162 5.5162 5.5162
angles: 90.00 90.00 90.00
Element x y z (fractional)
Hf 0.0000 0.0000 0.0000
Au 0.5000 0.5000 0.5000
Te 0.5000 0.0000 0.0000
Te 0.0000 0.5000 0.0000
Te 0.0000 0.0000 0.5000

(3)
HfTe3Au: relaxed, PBE.

The relative energy among the computed polymorphs is 0.00 eV/f.u. The value obtained for the calculated density is 8940 kg/m³. Its space-group type is C2/m, No. 12. Its formation energy from raw total energies is -320.1 meV per atom.

abc: 4.2001 8.3071 8.3555
angles: 93.25 104.56 90.00
Element x y z (fractional)
Te 0.6615 0.0187 0.3230
Te 0.0312 0.2175 0.0624
Te 0.9688 0.7825 0.9376
Te 0.3385 0.9813 0.6770
Te 0.8235 0.4092 0.6469
Te 0.1765 0.5908 0.3531
Au 0.5522 0.6535 0.1045
Au 0.4478 0.3465 0.8955
Hf 0.2102 0.2442 0.4205
Hf 0.7898 0.7558 0.5795

(4)
Hf2Te2Au: relaxed, PBE.

The value obtained for the calculated density is 11731 kg/m³. Its space-group type is P4/mbm, No. 127. Its formation energy from raw total energies is -481.6 meV per atom.

abc: 7.7616 7.7616 3.8025
angles: 90.00 90.00 90.00
Element x y z (fractional)
Te 0.8502 0.3502 0.5000
Te 0.6498 0.8502 0.5000
Te 0.3502 0.1498 0.5000
Te 0.1498 0.6498 0.5000
Au 0.5000 0.5000 0.0000
Au 0.0000 0.0000 0.0000
Hf 0.1449 0.3551 0.0000
Hf 0.8551 0.6449 0.0000
Hf 0.6449 0.1449 0.0000
Hf 0.3551 0.8551 0.0000

(5)
Hf2TeAu: relaxed, PBE.

The value obtained for the calculated density is 9106 kg/m³. Its space-group type is I-42d, No. 122. Its formation energy from raw total energies is 205.8 meV per atom.

abc: 6.0263 6.0263 8.0625
angles: 68.05 68.05 90.00
Element x y z (fractional)
Hf 0.0830 0.6250 0.2500
Hf 0.3750 0.3330 0.7500
Hf 0.6670 0.1250 0.2500
Hf 0.8750 0.9170 0.7500
Te 0.5000 0.5000 0.0000
Te 0.2500 0.7500 0.5000
Au 0.7500 0.2500 0.5000
Au 0.0000 0.0000 0.0000

(6)
HfTe3Au: relaxed, PBE.

The relative energy among the computed polymorphs is 4.78 eV/f.u. The value obtained for the calculated density is 8345 kg/m³. Its space-group type is Pm-3m, No. 221. Its formation energy from raw total energies is 636.3 meV per atom.

abc: 5.3237 5.3237 5.3237
angles: 90.00 90.00 90.00
Element x y z (fractional)
Au 0.0000 0.0000 0.0000
Hf 0.5000 0.5000 0.5000
Te 0.0000 0.0000 0.5000
Te 0.5000 0.0000 0.0000
Te 0.0000 0.5000 0.0000

(7)
Hf2TeAu2: relaxed, PBE.

The relative energy among the computed polymorphs is 0.00 eV/f.u. The value obtained for the calculated density is 13308 kg/m³. Its space-group type is P4/mbm, No. 127. Its formation energy from raw total energies is -386.4 meV per atom.

abc: 7.5039 7.5039 3.8934
angles: 90.00 90.00 90.00
Element x y z (fractional)
Hf 0.1573 0.3427 0.0000
Hf 0.8427 0.6573 0.0000
Hf 0.3427 0.8427 0.0000
Hf 0.6573 0.1573 0.0000
Te 0.5000 0.5000 0.0000
Te 0.0000 0.0000 0.0000
Au 0.6359 0.8641 0.5000
Au 0.8641 0.3641 0.5000
Au 0.3641 0.1359 0.5000
Au 0.1359 0.6359 0.5000

(8)
Hf2TeAu2: relaxed, PBE.

The relative energy among the computed polymorphs is 0.70 eV/f.u. The value obtained for the calculated density is 13556 kg/m³. Its space-group type is P4/mbm, No. 127. Its formation energy from raw total energies is -246.7 meV per atom.

abc: 7.7330 7.7330 3.5991
angles: 90.00 90.00 90.00
Element x y z (fractional)
Au 0.6284 0.1284 0.0000
Au 0.3716 0.8716 0.0000
Au 0.1284 0.3716 0.0000
Au 0.8716 0.6284 0.0000
Hf 0.1667 0.6667 0.5000
Hf 0.6667 0.8333 0.5000
Hf 0.8333 0.3333 0.5000
Hf 0.3333 0.1667 0.5000
Te 0.0000 0.0000 0.0000
Te 0.5000 0.5000 0.0000

(9)
HfTe3Au2: relaxed, PBE.

The value obtained for the calculated density is 9009 kg/m³. Its space-group type is P2_1/m, No. 11. Its formation energy from raw total energies is -424.6 meV per atom.

abc: 4.0788 8.1342 11.0185
angles: 105.59 90.00 90.00
Element x y z (fractional)
Au 0.2500 0.9374 0.0702
Au 0.7500 0.0626 0.9298
Au 0.2500 0.4053 0.4100
Au 0.7500 0.5947 0.5900
Te 0.7500 0.5776 0.3186
Te 0.7500 0.9448 0.6704
Te 0.2500 0.4224 0.6814
Te 0.2500 0.0552 0.3296
Te 0.7500 0.6955 0.9701
Te 0.2500 0.3045 0.0299
Hf 0.7500 0.2255 0.2079
Hf 0.2500 0.7745 0.7921

(10)
Hf2Tl2Te6Au: relaxed, PBE.

The value obtained for the calculated density is 7707 kg/m³. Its space-group type is C2/m, No. 12. Its formation energy from raw total energies is -473.6 meV per atom.

abc: 7.4801 7.4801 8.3439
angles: 98.36 98.36 123.11
Element x y z (fractional)
Tl 0.8548 0.1452 0.0000
Tl 0.1452 0.8548 0.0000
Te 0.0875 0.4465 0.7259
Te 0.7294 0.7294 0.6664
Te 0.5535 0.9125 0.2741
Te 0.4465 0.0875 0.7259
Te 0.9125 0.5535 0.2741
Te 0.2706 0.2706 0.3336
Au 0.0000 0.0000 0.5000
Hf 0.6851 0.3149 0.5000
Hf 0.3149 0.6851 0.5000

(11)
HfTh2Au: relaxed, PBE.

The relative energy among the computed polymorphs is 0.00 eV/f.u. The value obtained for the calculated density is 12912 kg/m³. Its space-group type is P4/mmm, No. 123.

abc: 3.4596 3.4596 9.0208
angles: 90.00 90.00 90.00
Element x y z (fractional)
Hf 0.5000 0.5000 0.5000
Th 0.0000 0.0000 0.7630
Th 0.0000 0.0000 0.2370
Au 0.5000 0.5000 0.0000

(12)
HfThAu: relaxed, PBE.

The relative energy among the computed polymorphs is 0.10 eV/f.u. The value obtained for the calculated density is 13429 kg/m³. Its space-group type is P4/nmm, No. 129.

abc: 4.4180 4.4180 7.6971
angles: 90.00 90.00 90.00
Element x y z (fractional)
Hf 0.5000 0.5000 0.5000
Hf 0.0000 0.0000 0.5000
Th 0.5000 0.0000 0.1394
Th 0.0000 0.5000 0.8606
Au 0.5000 0.0000 0.7418
Au 0.0000 0.5000 0.2582

(13)
HfTh2Au: relaxed, PBE.

The relative energy among the computed polymorphs is 1.55 eV/f.u. The value obtained for the calculated density is 12871 kg/m³. Its space-group type is R-3m, No. 166.

abc: 3.3356 3.3356 11.4045
angles: 81.59 81.59 60.00
Element x y z (fractional)
Au 0.5000 0.5000 0.5000
Th 0.0913 0.0913 0.7261
Th 0.9087 0.9087 0.2739
Hf 0.0000 0.0000 0.0000

(14)
HfThAu2: relaxed, PBE.

The relative energy among the computed polymorphs is 0.37 eV/f.u. The value obtained for the calculated density is 14546 kg/m³. Its space-group type is Fm-3m, No. 225.

abc: 5.0642 5.0642 5.0642
angles: 60.00 60.00 60.00
Element x y z (fractional)
Au 0.7500 0.7500 0.7500
Au 0.2500 0.2500 0.2500
Hf 0.5000 0.5000 0.5000
Th 0.0000 0.0000 0.0000

(15)
HfThAu2: relaxed, PBE.

The relative energy among the computed polymorphs is 0.17 eV/f.u. The value obtained for the calculated density is 14090 kg/m³. Its space-group type is R-3m, No. 166.

abc: 4.7105 4.7105 5.6335
angles: 65.29 65.29 60.00
Element x y z (fractional)
Au 0.7748 0.7748 0.6755
Au 0.2252 0.2252 0.3245
Th 0.0000 0.0000 0.0000
Hf 0.5000 0.5000 0.5000

(16)
HfThAu2: relaxed, PBE.

The relative energy among the computed polymorphs is 0.00 eV/f.u. The value obtained for the calculated density is 14849 kg/m³. Its space-group type is P4/mmm, No. 123.

abc: 3.4778 3.4778 7.4378
angles: 90.00 90.00 90.00
Element x y z (fractional)
Hf 0.5000 0.5000 0.0000
Au 0.0000 0.0000 0.7929
Au 0.0000 0.0000 0.2071
Th 0.5000 0.5000 0.5000

(17)
HfThAu: relaxed, PBE.

The relative energy among the computed polymorphs is 0.47 eV/f.u. The value obtained for the calculated density is 12909 kg/m³. Its space-group type is P-6m2, No. 187.

abc: 4.1588 4.6581 4.6581
angles: 120.00 90.00 90.00
Element x y z (fractional)
Hf 0.1669 0.0000 0.0000
Au 0.1664 0.3333 0.6667
Th 0.6667 0.6667 0.3333

(18)
HfThAu: relaxed, PBE.

The relative energy among the computed polymorphs is 0.00 eV/f.u. The value obtained for the calculated density is 13745 kg/m³. Its space-group type is I4mm, No. 107.

abc: 3.4355 3.4355 6.6761
angles: 104.91 104.91 90.00
Element x y z (fractional)
Th 0.9995 0.9995 0.9990
Hf 0.3114 0.3114 0.6227
Au 0.6891 0.6891 0.3783

(19)
HfThZnAu: relaxed, PBE.

The value obtained for the calculated density is 12411 kg/m³. The total energy comes out at -5.677 eV/atom. Its space-group type is F-43m, No. 216.

abc: 5.0307 5.0307 5.0307
angles: 60.00 60.00 60.00
Element x y z (fractional)
Au 0.2500 0.2500 0.2500
Hf 0.0000 0.0000 0.0000
Th 0.5000 0.5000 0.5000
Zn 0.7500 0.7500 0.7500

(20)
HfTiAu5: relaxed, PBE.

The value obtained for the calculated density is 15388 kg/m³. The total energy comes out at -5.170 eV/atom. Its space-group type is C2/c, No. 15.

abc: 5.0411 5.0411 10.9651
angles: 101.50 101.50 99.51
Site moments in Bohr magnetons follow the coordinates.
Element x y z (fractional)
Hf 0.0000 0.0000 0.0000  0.03
Hf 0.0000 0.0000 0.5000  0.03
Au 0.9816 0.4439 0.8547  0.01
Au 0.4439 0.9816 0.3547  0.01
Au 0.0184 0.5561 0.1453  0.01
Au 0.4790 0.7664 0.0485  0.01
Au 0.2336 0.5210 0.4515  0.01
Au 0.7664 0.4790 0.5485  0.01
Au 0.0912 0.9088 0.7500  0.01
Au 0.9088 0.0912 0.2500  0.01
Au 0.5561 0.0184 0.6453  0.01
Au 0.5210 0.2336 0.9515  0.01
Ti 0.5423 0.4577 0.2500  0.69
Ti 0.4577 0.5423 0.7500  0.69